# Pm2Sn4Hg

Crystalline Pm2Sn4Hg at its relaxed geometry (PBE, the Alexandria database).

## Properties
- space group = Fmmm
- N(E_F) (states/eV/cell) = 3.8
- total DFT energy (no corrections) (eV/atom) = -4.152
- E_form (eV/atom) = -0.46
- mass density (g/cm³) = 8.01
- total magnetization (μB per formula unit) = 0.0

a b c (Å): 6.5304 6.5304 6.5840
angles (deg): 119.71 119.71 90.10
Last column: nearest neighbours and their distance in Å.
Fractional positions:
Pm1 0.2858 0.7856 0.5714  2 Hg 3.26-3.27, 8 Sn 3.29
Pm2 0.7856 0.2858 0.5714  2 Hg 3.26-3.27, 8 Sn 3.29
Sn1 0.7859 0.7859 0.0716  4 Sn 3.26-3.27, 2 Hg 3.29, 4 Pm 3.29
Sn2 0.2857 0.2857 0.0712  4 Sn 3.26-3.27, 2 Hg 3.29, 4 Pm 3.29
Sn3 0.7856 0.2857 0.0714  4 Sn 3.26-3.27, 4 Pm 3.29, 2 Hg 3.29
Sn4 0.2857 0.7856 0.0714  4 Sn 3.26-3.27, 4 Pm 3.29, 2 Hg 3.29
Hg1 0.7858 0.7858 0.5715  4 Pm 3.26-3.27, 8 Sn 3.29